Record 1
CePm8In2: relaxed, GGA-PBE.

a b c (Å): 9.2995 9.2995 6.3987
angles (deg): 102.65 102.65 42.62
Fractional coordinates of all 11 atoms:
Ce  0.0000  0.0000  0.0000
Pm  0.1501  0.6521  0.5346
Pm  0.2185  0.2185  0.1578
Pm  0.3479  0.8499  0.4654
Pm  0.4154  0.4154  0.0770
Pm  0.5846  0.5846  0.9230
Pm  0.6521  0.1501  0.5346
Pm  0.7815  0.7815  0.8422
Pm  0.8499  0.3479  0.4654
In  0.2576  0.2576  0.6871
In  0.7424  0.7424  0.3129

## Properties
Its formation energy from the elements is -0.04 eV/atom. As for the theoretical density: 7.0 g/cm3. As for the crystal system: monoclinic. The value obtained for the total energy is -0.1665 hartree per atom.

Record 2
Zr4Sn: relaxed, GGA-PBE.

a b c (Å): 8.4415 8.4415 8.4415
angles (deg): 146.12 137.58 55.36
Fractional coordinates of all 10 atoms:
Zr  0.0000  0.0000  0.0000
Zr  0.2022  0.1972  0.0050
Zr  0.3078  0.8028  0.5050
Zr  0.3486  0.5986  0.7500
Zr  0.5000  0.0000  0.5000
Zr  0.6514  0.4014  0.2500
Zr  0.6922  0.1972  0.4950
Zr  0.7978  0.8028  0.9950
Sn  0.1396  0.3896  0.7500
Sn  0.8604  0.6104  0.2500

## Properties
As for the energy relative to the lowest polymorph listed for this composition: 0 meV per atom. Its formation energy from the elements is -0.22 eV/atom. As for the theoretical density: 7.1 g/cm3. As for the crystal system: orthorhombic. The value obtained for the total energy is -0.2887 hartree per atom.

Which of these has the lowest theoretical density?
CePm8In2

formation energy from the elements of number 1 (CePm8In2)?
-0.04 eV/atom

Among the records above, which one has the highest theoretical density?
Zr4Sn